First-principles (PBE+U) data for a relaxed Na2MnPbF6 crystal, as listed in Alexandria via LeMat-Bulk.

The value obtained for the density of states at the Fermi level is 0.000 states/eV per atom. The total energy is -101.99 eV/cell. The density comes out at 4.6 g cm⁻³. Its size of the total moment is 0.500 μB per atom.

a b c (Å): 5.8825 6.1326 8.4995
angles (deg): 90.00 89.03 90.00
Atoms (fractional coordinates):
Mn: 0.0000 0.5000 0.0000
Mn: 0.5000 0.0000 0.5000
Pb: 0.5000 0.0000 0.0000
Pb: 0.0000 0.5000 0.5000
Na: 0.5046 0.4598 0.2287
Na: 0.0046 0.0402 0.7287
Na: 0.9954 0.9598 0.2713
Na: 0.4954 0.5402 0.7713
F: 0.3140 0.6529 0.0437
F: 0.1562 0.2033 0.0911
F: 0.1286 0.4019 0.7702
F: 0.8438 0.7967 0.9089
F: 0.3438 0.7033 0.4089
F: 0.6860 0.3471 0.9563
F: 0.8714 0.5981 0.2298
F: 0.8140 0.8471 0.5437
F: 0.6286 0.0981 0.2702
F: 0.3714 0.9019 0.7298
F: 0.6562 0.2967 0.5911
F: 0.1860 0.1529 0.4563